[1]
AgBr2F8 | the Alexandria database | PBE-GGA | relaxed; E_form (uncorrected) = -0.660 eV per atom
1.0
5.696 0.000 0.000
0.000 5.892 0.000
0.000 -2.946 5.103
Ag F Br
1 8 2
Direct
0.500 0.000 0.000 Ag
0.727 0.836 0.671 F
0.273 0.164 0.836 F
0.273 0.164 0.329 F
0.722 0.333 0.667 F
0.727 0.329 0.164 F
0.727 0.836 0.164 F
0.273 0.671 0.836 F
0.278 0.667 0.333 F
0.040 0.333 0.667 Br
0.960 0.667 0.333 Br

***

[2]
TaAsRh2 | the Alexandria database | PBE-GGA | relaxed; energy of formation from the pure elements = -0.313 eV/atom
1.0
-3.981 2.250 -1.699
-3.657 -0.252 3.218
4.666 1.367 0.389
Rh Ta As
2 1 1
Direct
0.000 0.000 0.000 Rh
0.250 0.750 0.500 Rh
0.500 0.500 0.000 Ta
0.750 0.250 0.500 As

***

Number 1: DOS at the Fermi energy 0.403 states/eV/atom. Number 2: DOS at the Fermi energy 0.530 states/eV/atom.